This record from Alexandria describes a relaxed structure of Tb6Y2ErTm. The functional is PBE-GGA.

Cell lengths 9.078, 15.028, 9.506 Å; angles 90.00, 97.18, 90.00 degrees
Space group C2/c (No. 15)
Asymmetric unit:
Tb  0.061  0.185  0.444 [8 per cell]
Tb  0.101  0.391  0.619 [8 per cell]
Tb  0.208  0.224  0.813 [8 per cell]
Y  0.250  0.051  0.045 [8 per cell]
Er  0.000  0.025  0.750 [4 per cell]
Tm  0.000  0.410  0.250 [4 per cell]

**Theoretical density**: 7.58 g cm⁻³
**ΔE_f**: 0.123 eV/atom

=====

This record from Alexandria describes a relaxed structure of Tb2YEr2Tm2. The functional is PBE-GGA.

Cell lengths 17.485, 3.475, 8.277 Å; angles 90.00, 116.65, 90.00 degrees
Space group C2/m (No. 12)
Asymmetric unit:
Tb  0.150  0.000  0.390 [4 per cell]
Y  0.000  0.500  0.500 [2 per cell]
Er  0.210  0.500  0.799 [4 per cell]
Tm  0.071  0.000  0.910 [4 per cell]

**Theoretical density**: 7.97 g cm⁻³
**ΔE_f**: 0.153 eV/atom

=====

This record from Alexandria describes a relaxed structure of TbY2Er2Tm. The functional is PBE-GGA.

Cell lengths 6.501, 17.657, 3.367 Å; angles 90.00, 90.00, 90.00 degrees
Space group Pnnm (No. 58)
Asymmetric unit:
Tb  0.000  0.000  0.000 [2 per cell]
Y  0.232  0.315  0.000 [4 per cell]
Er  0.230  0.146  0.500 [4 per cell]
Tm  0.000  0.500  0.000 [2 per cell]

**Theoretical density**: 7.22 g cm⁻³
**ΔE_f**: 0.273 eV/atom